No. 1
The following is a DFT calculation (PBE-GGA) of KS3N after structural relaxation.

As for the space group: P1, No. 1. The calculation puts the spin magnetization at 2.03 μB per cell. The calculation puts the uncorrected energy at -23.42 eV/f.u. As for the calculated density: 1.44 Mg/m³. As for the formation energy without anion corrections: -322 meV per atom. Its energy above the lowest structure with this stoichiometry is 0.000 eV per atom.

Cell and atoms, written as POSCAR:
```
KS3N
1.0
6.7490 0.0000 0.0000
-1.6899 6.5571 0.0000
-0.2890 -0.4240 7.7982
K S N
2 6 2
direct
0.0000 0.0000 0.0000
0.3391 0.6593 0.5003
0.0337 0.2933 0.6939
0.2983 0.1517 0.3401
0.5731 0.1822 0.2391
0.7088 0.9656 0.3096
0.8157 0.4291 0.7635
0.8461 0.7012 0.6605
0.3131 0.6530 0.0719
0.3445 0.6862 0.9357
```

***

No. 2
The following is a DFT calculation (PBE-GGA) of KSN after structural relaxation.

As for the space group: C2/m, No. 12. The calculation puts the spin magnetization at 0.00 μB per cell. The calculation puts the uncorrected energy at -13.56 eV/f.u. As for the calculated density: 2.16 Mg/m³. As for the formation energy without anion corrections: -5 meV per atom. Its energy above the lowest structure with this stoichiometry is 0.072 eV per atom.

Cell and atoms, written as POSCAR:
```
KSN
1.0
5.7976 -1.8877 0.0000
5.7976 1.8877 0.0000
-3.4678 0.0000 5.9885
K S N
2 2 2
direct
0.0692 0.0692 0.2612
0.9308 0.9308 0.7388
0.2199 0.2199 0.8068
0.7801 0.7801 0.1932
0.3604 0.3604 0.0231
0.6396 0.6396 0.9769
```

***

No. 3
The following is a DFT calculation (PBE-GGA) of KSbS2N after structural relaxation.

As for the space group: P4/mmm, No. 123. The calculation puts the spin magnetization at 3.11 μB per cell. The calculation puts the uncorrected energy at -13.86 eV/f.u. As for the calculated density: 2.82 Mg/m³. As for the formation energy without anion corrections: 1589 meV per atom. Its energy above the lowest structure with this stoichiometry is 1.343 eV per atom.

Cell and atoms, written as POSCAR:
```
KSbS2N
1.0
5.5168 0.0000 0.0000
0.0000 5.5168 0.0000
0.0000 0.0000 4.6198
K Sb S N
1 1 2 1
direct
0.0000 0.0000 0.0000
0.5000 0.5000 0.5000
0.0000 0.5000 0.0000
0.5000 0.0000 0.0000
0.0000 0.0000 0.5000
```

***

No. 4
The following is a DFT calculation (PBE-GGA) of KSbS2N after structural relaxation.

As for the space group: P4/mmm, No. 123. The calculation puts the spin magnetization at 1.44 μB per cell. The calculation puts the uncorrected energy at -20.57 eV/f.u. As for the calculated density: 3.53 Mg/m³. As for the formation energy without anion corrections: 246 meV per atom. Its energy above the lowest structure with this stoichiometry is 0.000 eV per atom.

Cell and atoms, written as POSCAR:
```
KSbS2N
1.0
5.1661 0.0000 0.0000
0.0000 5.1661 0.0000
0.0000 0.0000 4.2177
K Sb S N
1 1 2 1
direct
0.0000 0.0000 0.0000
0.5000 0.5000 0.5000
0.0000 0.5000 0.5000
0.5000 0.0000 0.5000
0.5000 0.5000 0.0000
```

***

No. 5
The following is a DFT calculation (PBE-GGA) of KSbSN2 after structural relaxation.

As for the space group: P4/mmm, No. 123. The calculation puts the spin magnetization at 4.05 μB per cell. The calculation puts the uncorrected energy at -15.38 eV/f.u. As for the calculated density: 2.78 Mg/m³. As for the formation energy without anion corrections: 2124 meV per atom. Its energy above the lowest structure with this stoichiometry is 1.372 eV per atom.

Cell and atoms, written as POSCAR:
```
KSbSN2
1.0
4.7252 0.0000 0.0000
0.0000 4.7252 0.0000
0.0000 0.0000 5.9110
K Sb S N
1 1 1 2
direct
0.0000 0.0000 0.0000
0.5000 0.5000 0.5000
0.0000 0.0000 0.5000
0.0000 0.5000 0.0000
0.5000 0.0000 0.0000
```

***

No. 6
The following is a DFT calculation (PBE-GGA) of KSbSN2 after structural relaxation.

As for the space group: P4/mmm, No. 123. The calculation puts the spin magnetization at 2.30 μB per cell. The calculation puts the uncorrected energy at -22.24 eV/f.u. As for the calculated density: 3.88 Mg/m³. As for the formation energy without anion corrections: 752 meV per atom. Its energy above the lowest structure with this stoichiometry is 0.000 eV per atom.

Cell and atoms, written as POSCAR:
```
KSbSN2
1.0
4.2686 0.0000 0.0000
0.0000 4.2686 0.0000
0.0000 0.0000 5.1864
K Sb S N
1 1 1 2
direct
0.0000 0.0000 0.0000
0.5000 0.5000 0.5000
0.5000 0.5000 0.0000
0.0000 0.5000 0.5000
0.5000 0.0000 0.5000
```

***

- Which value of calculated density does entry 4 give?
  3.53 Mg/m³

***

- The lowest formation energy without anion corrections belongs to which entry?
  KS3N

***

- The highest spin magnetization belongs to which entry?
  number 5